1.
# Nb2FePtO

A geometry-optimized Nb2FePtO structure (PBEsol, Alexandria via LeMat-Bulk).

a = 3.706 Å, b = 4.956 Å, c = 4.956 Å
α = 90.00°, β = 90.00°, γ = 90.00°
Last column: magnetic moment on the atom in μB.
Fractional coordinates of all 5 atoms:
O 0.500 0.000 0.000  0.04
Nb 0.000 0.000 0.500  -0.26
Nb 0.000 0.500 0.000  -0.26
Fe 0.500 0.500 0.500  2.93
Pt 0.000 0.000 0.000  0.00

Properties
VASP energy = -7.39 eV/atom
D(E_F) = 1.44 states/eV/atom
total magnetic moment = 2.43 μB/f.u.
formation energy from raw total energies = 1.18 eV per atom
calculated volume = 18.21 Å³ per atom

=====

2.
# NbFeP

A geometry-optimized NbFeP structure (PBEsol, Alexandria via LeMat-Bulk).

a = 3.563 Å, b = 6.096 Å, c = 6.894 Å
α = 90.00°, β = 90.00°, γ = 90.00°
Fractional coordinates of all 12 atoms:
P 0.750 0.721 0.882
P 0.250 0.279 0.118
P 0.750 0.221 0.618
P 0.250 0.779 0.382
Nb 0.750 0.478 0.323
Nb 0.250 0.522 0.677
Nb 0.750 0.978 0.177
Nb 0.250 0.022 0.823
Fe 0.250 0.141 0.438
Fe 0.750 0.859 0.562
Fe 0.250 0.641 0.062
Fe 0.750 0.359 0.938

Properties
VASP energy = -9.51 eV/atom
D(E_F) = 0.28 states/eV/atom
total magnetic moment = 0.00 μB/f.u.
ΔH_f (0 K) = -0.99 eV/atom
calculated volume = 12.48 Å³ per atom

=====

3.
# Nb4FeP

A geometry-optimized Nb4FeP structure (PBEsol, Alexandria via LeMat-Bulk).

a = 5.045 Å, b = 6.067 Å, c = 6.067 Å
α = 90.00°, β = 90.00°, γ = 90.00°
Fractional coordinates of all 12 atoms:
P 0.750 0.500 0.500
P 0.250 0.500 0.500
Nb 0.500 0.158 0.333
Nb 0.500 0.842 0.667
Nb 0.500 0.667 0.158
Nb 0.500 0.333 0.842
Nb 0.000 0.842 0.333
Nb 0.000 0.667 0.842
Nb 0.000 0.333 0.158
Nb 0.000 0.158 0.667
Fe 0.750 0.000 0.000
Fe 0.250 0.000 0.000

Properties
VASP energy = -10.10 eV/atom
D(E_F) = 1.01 states/eV/atom
total magnetic moment = 0.00 μB/f.u.
ΔH_f (0 K) = -0.42 eV/atom
calculated volume = 15.48 Å³ per atom

=====

4.
# NbFe2Pb2

A geometry-optimized NbFe2Pb2 structure (PBEsol, Alexandria via LeMat-Bulk).

a = 3.277 Å, b = 3.277 Å, c = 8.946 Å
α = 100.56°, β = 100.56°, γ = 90.00°
Last column: magnetic moment on the atom in μB.
Fractional coordinates of all 5 atoms:
Pb 0.383 0.383 0.766  -0.02
Pb 0.617 0.617 0.234  -0.02
Nb 0.000 0.000 0.000  0.13
Fe 0.250 0.750 0.500  2.40
Fe 0.750 0.250 0.500  2.40

Properties
VASP energy = -6.74 eV/atom
D(E_F) = 0.85 states/eV/atom
total magnetic moment = 4.94 μB/f.u.
ΔH_f (0 K) = 0.61 eV/atom
calculated volume = 18.56 Å³ per atom

=====

5.
# NbFePb3

A geometry-optimized NbFePb3 structure (PBEsol, Alexandria via LeMat-Bulk).

a = 5.030 Å, b = 5.030 Å, c = 5.030 Å
α = 90.00°, β = 90.00°, γ = 90.00°
Last column: magnetic moment on the atom in μB.
Fractional coordinates of all 5 atoms:
Pb 0.000 0.500 0.000  0.00
Pb 0.000 0.000 0.500  0.00
Pb 0.500 0.000 0.000  0.00
Nb 0.500 0.500 0.500  2.57
Fe 0.000 0.000 0.000  1.91

Properties
VASP energy = -5.35 eV/atom
D(E_F) = 1.37 states/eV/atom
total magnetic moment = 5.33 μB/f.u.
ΔH_f (0 K) = 1.01 eV/atom
calculated volume = 25.46 Å³ per atom

=====

6.
# NbFePd3

A geometry-optimized NbFePd3 structure (PBEsol, Alexandria via LeMat-Bulk).

a = 4.456 Å, b = 4.456 Å, c = 4.456 Å
α = 90.00°, β = 90.00°, γ = 90.00°
Last column: magnetic moment on the atom in μB.
Fractional coordinates of all 5 atoms:
Nb 0.500 0.500 0.500  1.54
Fe 0.000 0.000 0.000  2.62
Pd 0.000 0.500 0.000  0.31
Pd 0.000 0.000 0.500  0.31
Pd 0.500 0.000 0.000  0.31

Properties
VASP energy = -6.55 eV/atom
D(E_F) = 1.57 states/eV/atom
total magnetic moment = 5.49 μB/f.u.
ΔH_f (0 K) = 0.99 eV/atom
calculated volume = 17.69 Å³ per atom

=====

7.
# Nb3FePd

A geometry-optimized Nb3FePd structure (PBEsol, Alexandria via LeMat-Bulk).

a = 4.497 Å, b = 4.497 Å, c = 4.497 Å
α = 90.00°, β = 90.00°, γ = 90.00°
Fractional coordinates of all 5 atoms:
Nb 0.000 0.500 0.000
Nb 0.000 0.000 0.500
Nb 0.500 0.000 0.000
Fe 0.000 0.000 0.000
Pd 0.500 0.500 0.500

Properties
VASP energy = -8.82 eV/atom
D(E_F) = 1.06 states/eV/atom
total magnetic moment = 0.00 μB/f.u.
ΔH_f (0 K) = 0.66 eV/atom
calculated volume = 18.19 Å³ per atom

=====

8.
# NbFe2PdW

A geometry-optimized NbFe2PdW structure (PBEsol, Alexandria via LeMat-Bulk).

a = 4.360 Å, b = 4.360 Å, c = 4.753 Å
α = 90.00°, β = 90.00°, γ = 90.00°
Last column: magnetic moment on the atom in μB.
Fractional coordinates of all 5 atoms:
Nb 0.000 0.000 0.000  -0.39
Pd 0.500 0.500 0.500  0.03
W 0.000 0.000 0.500  0.24
Fe 0.000 0.500 0.000  1.94
Fe 0.500 0.000 0.000  1.94

Properties
VASP energy = -7.80 eV/atom
D(E_F) = 1.54 states/eV/atom
total magnetic moment = 3.81 μB/f.u.
ΔH_f (0 K) = 1.91 eV/atom
calculated volume = 18.07 Å³ per atom

=====

The lowest VASP energy belongs to which entry?
Nb4FeP

=====

Which of these has the highest total magnetic moment?
NbFePd3

=====

Copy entry 4 word for word.
# NbFe2Pb2

A geometry-optimized NbFe2Pb2 structure (PBEsol, Alexandria via LeMat-Bulk).

a = 3.277 Å, b = 3.277 Å, c = 8.946 Å
α = 100.56°, β = 100.56°, γ = 90.00°
Last column: magnetic moment on the atom in μB.
Fractional coordinates of all 5 atoms:
Pb 0.383 0.383 0.766  -0.02
Pb 0.617 0.617 0.234  -0.02
Nb 0.000 0.000 0.000  0.13
Fe 0.250 0.750 0.500  2.40
Fe 0.750 0.250 0.500  2.40

Properties
VASP energy = -6.74 eV/atom
D(E_F) = 0.85 states/eV/atom
total magnetic moment = 4.94 μB/f.u.
ΔH_f (0 K) = 0.61 eV/atom
calculated volume = 18.56 Å³ per atom

=====

What is the total magnetic moment in the eighth record?
3.81 μB/f.u.